A relaxed Cr2CdCl crystal, computed with PBE.

Calculated values
Volume in Å³/atom: 20.666
E above lowest polymorph in eV per formula unit: 1.99
E in eV/atom: -4.9296
ρ in Mg/m³: 5.06
Formation energy from raw total energies in meV/atom: 572

abc: 6.0623 6.0623 6.0623
angles: 142.32 142.32 54.34
Closest atoms and distances in Å follow each position.
Positions (direct):
Cr: 0.2500 0.7500 0.5000  4 Cl 2.77
Cr: 0.0000 0.0000 0.0000  4 Cd 2.77
Cd: 0.5000 0.5000 0.0000  4 Cr 2.77
Cl: 0.7500 0.2500 0.5000  4 Cr 2.77

=====

A relaxed Cr2CdCl crystal, computed with PBE.

Calculated values
Volume in Å³/atom: 19.080
E above lowest polymorph in eV per formula unit: 1.27
E in eV/atom: -5.1083
ρ in Mg/m³: 5.48
Formation energy from raw total energies in meV/atom: 394

abc: 3.1821 3.1821 7.5372
angles: 90.00 90.00 90.00
Closest atoms and distances in Å follow each position.
Positions (direct):
Cr: 0.0000 0.0000 0.9946  4 Cl 2.91, 4 Cd 2.96, 4 Cr 3.18
Cd: 0.5000 0.5000 0.2500  8 Cr 2.96, 4 Cd 3.18
Cr: 0.0000 0.0000 0.5054  4 Cl 2.91, 4 Cd 2.96, 4 Cr 3.18
Cl: 0.5000 0.5000 0.7500  8 Cr 2.91, 4 Cl 3.18

=====

A relaxed Cr2Cd2Cl crystal, computed with PBE.

Calculated values
Volume in Å³/atom: 21.121
E in eV/atom: -3.7882
ρ in Mg/m³: 5.73
Formation energy from raw total energies in meV/atom: 797

abc: 4.1646 4.1646 6.7634
angles: 72.07 72.07 90.00
Closest atoms and distances in Å follow each position.
Positions (direct):
Cr: 0.5707 0.5707 0.8587  1 Cr 1.72
Cl: 0.0000 0.0000 0.0000  8 Cr 3.07
Cd: 0.2500 0.7500 0.5000  4 Cd 2.94, 4 Cr 3.02
Cr: 0.4293 0.4293 0.1413  1 Cr 1.72
Cd: 0.7500 0.2500 0.5000  4 Cd 2.94, 4 Cr 3.02

=====

A relaxed Cr2CdCl crystal, computed with PBE.

Calculated values
Volume in Å³/atom: 18.627
E above lowest polymorph in eV per formula unit: 0.00
E in eV/atom: -5.4270
ρ in Mg/m³: 5.61
Formation energy from raw total energies in meV/atom: 75

abc: 2.9918 3.1117 8.0035
angles: 89.91 90.00 90.00
Closest atoms and distances in Å follow each position.
Positions (direct):
Cl: 0.5000 0.7518 0.8074  2 Cr 2.37
Cr: 0.0000 0.7504 0.0374  2 Cl 2.37, 4 Cr 2.53
Cr: 0.5000 0.2496 0.2033  4 Cr 2.53
Cd: 0.0000 0.7483 0.4519  4 Cr 2.94, 4 Cd 2.99-3.11, 2 Cl 3.21

=====

A relaxed CrCdCl2 crystal, computed with PBE.

Calculated values
Volume in Å³/atom: 28.640
E above lowest polymorph in eV per formula unit: 0.00
E in eV/atom: -4.1064
ρ in Mg/m³: 3.41
Formation energy from raw total energies in meV/atom: -548

abc: 6.4334 6.4334 6.4334
angles: 149.84 119.91 68.70
Closest atoms and distances in Å follow each position.
Positions (direct):
Cd: 0.2500 0.7500 0.5000  2 Cd 3.35, 4 Cl 3.62, 4 Cr 3.63
Cl: 0.5937 0.5937 0.0000  2 Cr 2.36
Cl: 0.9063 0.9063 0.0000  2 Cr 2.36
Cr: 0.7500 0.2500 0.5000  4 Cl 2.36

=====

A relaxed Cr2CdCl crystal, computed with PBE.

Calculated values
Volume in Å³/atom: 19.089
E above lowest polymorph in eV per formula unit: 1.10
E in eV/atom: -5.1526
ρ in Mg/m³: 5.48
Formation energy from raw total energies in meV/atom: 350

abc: 8.3611 8.3611 8.3611
angles: 22.70 22.70 22.70
Closest atoms and distances in Å follow each position.
Positions (direct):
Cr: 0.0052 0.0052 0.0052  3 Cl 2.69, 3 Cd 2.88
Cl: 0.7500 0.7500 0.7500  6 Cr 2.69
Cr: 0.4948 0.4948 0.4948  3 Cl 2.69, 3 Cd 2.88
Cd: 0.2500 0.2500 0.2500  6 Cr 2.88

=====

A relaxed Cr4CdCl crystal, computed with PBE.

Calculated values
Volume in Å³/atom: 14.670
E in eV/atom: -5.9946
ρ in Mg/m³: 6.71
Formation energy from raw total energies in meV/atom: 881

abc: 4.9931 4.9931 4.9931
angles: 60.00 60.00 60.00
Closest atoms and distances in Å follow each position.
Positions (direct):
Cr: 0.3675 0.3675 0.3675  3 Cr 2.35
Cr: 0.3675 0.8976 0.3675  3 Cr 2.35
Cd: 0.7500 0.7500 0.7500  12 Cr 2.94, 4 Cl 3.06
Cl: 0.0000 0.0000 0.0000  12 Cr 2.91, 4 Cd 3.06
Cr: 0.3675 0.3675 0.8976  3 Cr 2.35
Cr: 0.8976 0.3675 0.3675  3 Cr 2.35

=====

A relaxed CrCdCl4 crystal, computed with PBE.

Calculated values
Volume in Å³/atom: 24.570
E above lowest polymorph in eV per formula unit: 8.87
E in eV/atom: -2.4871
ρ in Mg/m³: 3.45
Formation energy from raw total energies in meV/atom: 500

abc: 5.9296 5.9296 5.9296
angles: 60.00 60.00 60.00
Closest atoms and distances in Å follow each position.
Positions (direct):
Cl: 0.3747 0.8759 0.3747  6 Cl 2.96-2.97
Cr: 0.7500 0.7500 0.7500  12 Cl 3.48, 4 Cd 3.63
Cl: 0.8759 0.3747 0.3747  6 Cl 2.96-2.97
Cl: 0.3747 0.3747 0.8759  6 Cl 2.96-2.97
Cd: 0.0000 0.0000 0.0000  12 Cl 3.48, 4 Cr 3.63
Cl: 0.3747 0.3747 0.3747  6 Cl 2.96-2.97

=====

A relaxed Cr2CdCl crystal, computed with PBE.

Calculated values
Volume in Å³/atom: 19.720
E above lowest polymorph in eV per formula unit: 0.12
E in eV/atom: -5.3964
ρ in Mg/m³: 5.30
Formation energy from raw total energies in meV/atom: 106

abc: 3.2118 3.2118 7.6467
angles: 90.00 90.00 90.06
Closest atoms and distances in Å follow each position.
Positions (direct):
Cr: 0.5000 0.5000 0.1856  4 Cr 2.53-2.54, 1 Cl 2.54
Cd: 0.0000 0.0000 0.4222  5 Cr 2.90-2.94, 4 Cd 3.21
Cl: 0.5000 0.5000 0.8539  5 Cr 2.54-2.67
Cr: 0.0000 0.0000 0.0383  4 Cr 2.53-2.54, 4 Cl 2.67

=====

A relaxed CrCdCl2 crystal, computed with PBE.

Calculated values
Volume in Å³/atom: 23.849
E above lowest polymorph in eV per formula unit: 0.97
E in eV/atom: -3.8651
ρ in Mg/m³: 4.10
Formation energy from raw total energies in meV/atom: -307

abc: 3.2130 3.2130 9.2407
angles: 90.00 90.00 90.00
Closest atoms and distances in Å follow each position.
Positions (direct):
Cl: 0.0000 0.0000 0.4147  4 Cr 2.73, 1 Cl 3.04
Cl: 0.0000 0.0000 0.0853  4 Cr 2.73, 1 Cl 3.04
Cd: 0.5000 0.5000 0.7500  4 Cd 3.21
Cr: 0.5000 0.5000 0.2500  8 Cl 2.73

=====

A relaxed Cr2CdCl crystal, computed with PBE.

Calculated values
Volume in Å³/atom: 20.155
E above lowest polymorph in eV per formula unit: 1.74
E in eV/atom: -4.9914
ρ in Mg/m³: 5.19
Formation energy from raw total energies in meV/atom: 511

abc: 3.2318 5.7694 5.7722
angles: 48.51 90.00 90.00
Closest atoms and distances in Å follow each position.
Positions (direct):
Cr: 0.5000 0.5000 0.0000  4 Cl 2.87, 2 Cd 2.89
Cr: 0.0000 0.0000 0.0000  4 Cd 2.87, 2 Cl 2.89
Cd: 0.5000 0.5000 0.5000  6 Cr 2.87-2.89
Cl: 0.0000 0.0000 0.5000  6 Cr 2.87-2.89

=====

A relaxed CrCdCl2 crystal, computed with PBE.

Calculated values
Volume in Å³/atom: 30.155
E above lowest polymorph in eV per formula unit: 0.04
E in eV/atom: -4.0955
ρ in Mg/m³: 3.24
Formation energy from raw total energies in meV/atom: -538

abc: 3.8130 3.8130 10.3735
angles: 90.00 90.00 126.89
Closest atoms and distances in Å follow each position.
Positions (direct):
Cr: 0.5000 0.5000 0.2500  4 Cl 2.36
Cl: 0.0000 0.0000 0.4074  2 Cr 2.36
Cd: 0.5000 0.5000 0.7500  6 Cd 3.41-3.81
Cl: 0.0000 0.0000 0.0926  2 Cr 2.36

=====

A relaxed CrCdCl3 crystal, computed with PBE.

Calculated values
Volume in Å³/atom: 27.622
E above lowest polymorph in eV per formula unit: 1.68
E in eV/atom: -3.5272
ρ in Mg/m³: 3.26
Formation energy from raw total energies in meV/atom: -312

abc: 5.1690 5.1690 5.1690
angles: 90.00 90.00 90.00
Closest atoms and distances in Å follow each position.
Positions (direct):
Cd: 0.0000 0.0000 0.0000  6 Cl 2.58
Cr: 0.5000 0.5000 0.5000  12 Cl 3.66
Cl: 0.5000 0.0000 0.0000  2 Cd 2.58
Cl: 0.0000 0.5000 0.0000  2 Cd 2.58
Cl: 0.0000 0.0000 0.5000  2 Cd 2.58

=====

A relaxed CrCdCl2 crystal, computed with PBE.

Calculated values
Volume in Å³/atom: 29.659
E above lowest polymorph in eV per formula unit: 0.03
E in eV/atom: -4.0985
ρ in Mg/m³: 3.29
Formation energy from raw total energies in meV/atom: -541

abc: 3.3682 3.7294 9.5202
angles: 82.77 90.00 90.00
Closest atoms and distances in Å follow each position.
Positions (direct):
Cr: 0.5000 0.2500 0.2500  4 Cl 2.37
Cl: 0.0000 0.1063 0.0918  2 Cr 2.37
Cd: 0.5000 0.7500 0.7500  4 Cd 3.37-3.73
Cl: 0.0000 0.3937 0.4082  2 Cr 2.37

=====

A relaxed CrCdCl2 crystal, computed with PBE.

Calculated values
Volume in Å³/atom: 21.357
E above lowest polymorph in eV per formula unit: 1.85
E in eV/atom: -3.6431
ρ in Mg/m³: 4.57
Formation energy from raw total energies in meV/atom: -85

abc: 4.9435 4.9435 4.9435
angles: 60.00 60.00 60.00
Closest atoms and distances in Å follow each position.
Positions (direct):
Cl: 0.7500 0.7500 0.7500  4 Cd 3.03, 4 Cr 3.03
Cd: 0.5000 0.5000 0.5000  8 Cl 3.03
Cl: 0.2500 0.2500 0.2500  4 Cd 3.03, 4 Cr 3.03
Cr: 0.0000 0.0000 0.0000  8 Cl 3.03

=====

| no. | Fermi-level density of states (states/eV/f.u.) |
| --- | --- |
| 1 | 2.21 |
| 2 | 2.40 |
| 3 | 4.61 |
| 4 | 2.83 |
| 5 | 0.74 |
| 6 | 4.88 |
| 7 | 5.34 |
| 8 | 5.64 |
| 9 | 1.93 |
| 10 | 4.81 |
| 11 | 2.92 |
| 12 | 1.32 |
| 13 | 5.22 |
| 14 | 1.23 |
| 15 | 2.06 |